Entry w
Compound: Li2ZrNi
Source: the Alexandria database
Functional: GGA-PBEsol
Structure: optimized geometry

The structure belongs to space group I-4m2 (No. 119); the cell edges are 4.343, 4.343 and 6.176 Å and the angles 90.00°, 90.00° and 90.00°. The distinct sites, in fractional coordinates, are Li at (0.000, 0.000, 0.000), Li at (0.000, 0.500, 0.250), Zr at (0.000, 0.500, 0.750) and Ni at (0.000, 0.000, 0.500).

Entry x
Compound: Li2ZrNi
Source: the Alexandria database
Functional: GGA-PBEsol
Structure: optimized geometry

The structure belongs to space group C2/m (No. 12); the cell edges are 10.905, 2.957 and 4.273 Å and the angles 90.00°, 112.91° and 90.00°. The distinct sites, in fractional coordinates, are Li at (0.215, 0.000, 0.215), Zr at (0.000, 0.000, 0.500) and Ni at (0.000, 0.500, 0.000).

Entry y
Compound: Li2ZrNi
Source: the Alexandria database
Functional: GGA-PBEsol
Structure: optimized geometry

The structure belongs to space group Fm-3m (No. 225); the cell edges are 6.050, 6.050 and 6.050 Å and the angles 90.00°, 90.00° and 90.00°. The distinct sites, in fractional coordinates, are Li at (0.250, 0.250, 0.250), Zr at (0.000, 0.000, 0.000) and Ni at (0.000, 0.000, 0.500).

Stability verdict: entry x, ahead by 6.4 kJ/mol of atoms